# Tb2PrNdAs4 (PBE, relaxed)
# ΔH_f (0 K) = -1.52 eV/atom
# DFT total energy = -6.194 eV per atom
# DOS at the Fermi energy = 0.78 states/eV/f.u.
# total magnetization = 0.00 μB/atom
data_Tb2PrNdAs4
_cell_length_a 7.297
_cell_length_b 4.218
_cell_length_c 7.301
_cell_angle_alpha 90.00
_cell_angle_beta 109.47
_cell_angle_gamma 90.00
_space_group_name_H-M_alt 'P 1 2/m 1'
_space_group_IT_number 10
loop_
_space_group_symop_operation_xyz
'x,y,z'
'-x,-y,-z'
'-x,y,-z'
'x,-y,z'
loop_
_atom_site_label
_atom_site_type_symbol
_atom_site_fract_x
_atom_site_fract_y
_atom_site_fract_z
Tb1 Tb 0.000 0.000 0.000
Tb2 Tb 0.000 0.500 0.500
Pr1 Pr 0.500 0.000 0.500
Nd1 Nd 0.500 0.500 0.000
As1 As 0.240 0.500 0.246
As2 As 0.241 0.000 0.748

---

# TbPr2NdAs4 (PBE, relaxed)
# ΔH_f (0 K) = -1.51 eV/atom
# DFT total energy = -6.202 eV per atom
# DOS at the Fermi energy = 0.67 states/eV/f.u.
# total magnetization = 0.00 μB/atom
data_TbPr2NdAs4
_cell_length_a 7.372
_cell_length_b 4.261
_cell_length_c 7.373
_cell_angle_alpha 90.00
_cell_angle_beta 109.46
_cell_angle_gamma 90.00
_space_group_name_H-M_alt 'P 1 2/m 1'
_space_group_IT_number 10
loop_
_space_group_symop_operation_xyz
'x,y,z'
'-x,-y,-z'
'-x,y,-z'
'x,-y,z'
loop_
_atom_site_label
_atom_site_type_symbol
_atom_site_fract_x
_atom_site_fract_y
_atom_site_fract_z
Tb1 Tb 0.000 0.000 0.000
Pr1 Pr 0.500 0.000 0.500
Pr2 Pr 0.500 0.500 0.000
Nd1 Nd 0.000 0.500 0.500
As1 As 0.243 0.500 0.244
As2 As 0.245 0.000 0.752

---

# Pr2NdTe2As2 (PBE, relaxed)
# DFT total energy = -5.227 eV per atom
# ΔE_f (raw) = -0.95 eV per atom
# DOS at the Fermi energy = 5.39 states/eV/f.u.
# total magnetization = 0.00 μB/atom
data_Pr2NdTe2As2
_cell_length_a 5.479
_cell_length_b 5.479
_cell_length_c 15.896
_cell_angle_alpha 90.00
_cell_angle_beta 90.00
_cell_angle_gamma 90.00
_space_group_name_H-M_alt 'I 4/m m m'
_space_group_IT_number 139
_space_group_name_Hall '-I 4 2'
loop_
_atom_site_label
_atom_site_type_symbol
_atom_site_fract_x
_atom_site_fract_y
_atom_site_fract_z
Pr1 Pr 0.000 0.000 0.112
Nd1 Nd 0.000 0.000 0.500
Te1 Te 0.000 0.000 0.305
As1 As 0.000 0.500 0.000

---

# Pr2Nd3ThAs6 (PBE, relaxed)
# ΔH_f (0 K) = -1.51 eV/atom
# DFT total energy = -6.443 eV per atom
# DOS at the Fermi energy = 1.89 states/eV/f.u.
# total magnetization = 0.00 μB/atom
data_Pr2Nd3ThAs6
_cell_length_a 18.641
_cell_length_b 4.283
_cell_length_c 8.565
_cell_angle_alpha 90.00
_cell_angle_beta 103.20
_cell_angle_gamma 90.00
_space_group_name_H-M_alt 'C 1 2/m 1'
_space_group_IT_number 12
loop_
_space_group_symop_operation_xyz
'x,y,z'
'-x,-y,-z'
'-x,y,-z'
'x,-y,z'
'x+1/2,y+1/2,z'
'-x+1/2,-y+1/2,-z'
'-x+1/2,y+1/2,-z'
'x+1/2,-y+1/2,z'
loop_
_atom_site_label
_atom_site_type_symbol
_atom_site_fract_x
_atom_site_fract_y
_atom_site_fract_z
Pr1 Pr 0.167 0.000 0.335
Nd1 Nd 0.000 0.500 0.500
Nd2 Nd 0.168 0.000 0.832
Th1 Th 0.000 0.500 0.000
As1 As 0.001 0.000 0.754
As2 As 0.165 0.500 0.081
As3 As 0.166 0.500 0.585